# ErLuSi2Os

Crystalline ErLuSi2Os at its relaxed geometry (PBE-GGA, OQMD).

a = 5.6704 Å, b = 5.6704 Å, c = 9.8518 Å
α = 116.57°, β = 116.57°, γ = 43.48°
With the nearest neighbours (Å) after each atom.
Sites, in units of the cell vectors:
Er  0.0084  0.0084  0.1798  6 Si 2.87-3.06, 4 Os 3.03-3.12
Er  0.9916  0.9916  0.8202  6 Si 2.87-3.06, 4 Os 3.03-3.12
Lu  0.8160  0.8160  0.3890  5 Si 2.85-3.01, 2 Os 3.16
Lu  0.1840  0.1840  0.6110  5 Si 2.85-3.01, 2 Os 3.16
Os  0.2701  0.2701  0.1294  4 Si 2.41-2.51
Os  0.7299  0.7299  0.8706  4 Si 2.41-2.51
Si  0.6423  0.6423  0.0606  3 Os 2.41-2.45, 1 Si 2.64
Si  0.5054  0.5054  0.3772  1 Si 2.48, 1 Os 2.51
Si  0.4946  0.4946  0.6228  1 Si 2.48, 1 Os 2.51
Si  0.3577  0.3577  0.9394  3 Os 2.41-2.45, 1 Si 2.64

Properties
For the density, the calculation gives 10.234 g/cm³. The distance to the lowest polymorph of the same formula comes out at 0.013 eV per atom.